CsSb2TeSe | Alexandria via LeMat-Bulk | PBE-GGA | relaxed; total magnetization = 0.294 μB/atom; E_form (uncorrected) = 141.5 meV per atom; distance to the lowest polymorph of the same formula = 0.00 eV/f.u.
1.0
5.6860 0.0000 0.0000
0.0000 5.6860 0.0000
0.0000 0.0000 5.7652
Cs Sb Te Se
1 2 1 1
Cartesian
0.0000 0.0000 0.0000 Cs
0.0000 2.8430 2.8826 Sb
2.8430 0.0000 2.8826 Sb
2.8430 2.8430 0.0000 Te
2.8430 2.8430 2.8826 Se


PmThTlGa | Alexandria via LeMat-Bulk | PBE-GGA | relaxed; formation energy from the elements = -0.297 eV/atom; total magnetization = 0.000 μB/atom
1.0
0.0000 3.8019 3.8019
3.8019 0.0000 3.8019
3.8019 3.8019 0.0000
Pm Th Tl Ga
1 1 1 1
Cartesian
0.0000 0.0000 0.0000 Pm
3.8019 3.8019 3.8019 Th
5.7028 5.7028 5.7028 Tl
1.9009 1.9009 1.9009 Ga


Rb2Hg3As | Alexandria via LeMat-Bulk | PBE-GGA | relaxed; formation energy from the elements = -0.280 eV/atom; total magnetization = 0.000 μB/atom
1.0
4.8190 0.0000 0.0000
0.0000 5.2380 0.0000
0.0000 0.0000 8.8045
Rb Hg As
2 3 1
Cartesian
0.0000 0.0000 0.0000 Rb
2.4095 0.0000 4.0668 Rb
0.0000 2.6190 2.6391 Hg
0.0000 2.6190 5.6475 Hg
2.4095 2.6190 7.4264 Hg
2.4095 2.6190 1.3510 As


LaNiTe3 | Alexandria via LeMat-Bulk | PBE-GGA | relaxed; total magnetization = 0.071 μB/atom; E_form (uncorrected) = 546.2 meV per atom; distance to the lowest polymorph of the same formula = 5.78 eV/f.u.
1.0
6.0862 0.0000 0.0000
0.0000 6.0862 0.0000
0.0000 0.0000 6.0862
La Ni Te
1 1 3
Cartesian
0.0000 0.0000 0.0000 La
3.0431 3.0431 3.0431 Ni
0.0000 0.0000 3.0431 Te
0.0000 3.0431 0.0000 Te
3.0431 0.0000 0.0000 Te